Hf2CoTcW | Alexandria | GGA-PBE | relaxed; density of states at the Fermi level = 1.2012 states/eV per atom; space-group type = No. 123; energy of formation = 1449.6 meV/atom
1.0
5.0487 0.0000 0.0000
0.0000 5.0487 0.0000
0.0000 0.0000 4.5659
Hf Co Tc W
2 1 1 1
Direct
0.0000 0.5000 0.0000
0.5000 0.0000 0.0000
0.0000 0.0000 0.5000
0.5000 0.5000 0.5000
0.5000 0.5000 0.0000